Co2NiRhO6: relaxed, PBE with a Hubbard U.

The structure belongs to space group R3 (No. 146, hexagonal axes); the cell edges are 5.0251, 5.0251 and 13.6472 Å and the angles 90.00°, 90.00° and 120.00°. The inequivalent atoms are Co at (0.0000, 0.0000, 0.0000), Co at (0.0000, 0.0000, 0.4860), Ni at (0.0000, 0.0000, 0.1982), Rh at (0.0000, 0.0000, 0.6864), O at (0.0109, 0.6456, 0.2621) and O at (0.0351, 0.3652, 0.7564).

Its electronic total energy is -175.24 eV per cell. The volume comes out at 99 Å³/f.u.